Record 1
! Tb6Sm3Tm2Tl, optimized geometry, DFT PBE; values from VASP
&SYSTEM
  ibrav = 0, nat = 12, ntyp = 4
/
ATOMIC_SPECIES
Tb 158.93 Tb.upf
Sm 150.36 Sm.upf
Tm 168.93 Tm.upf
Tl 204.38 Tl.upf
ATOMIC_POSITIONS crystal
Tb 0.080 0.409 0.244
Tb 0.248 0.248 0.754
Tb 0.409 0.080 0.244
Tb 0.591 0.920 0.756
Tb 0.752 0.752 0.246
Tb 0.920 0.591 0.756
Sm 0.167 0.833 0.500
Sm 0.500 0.500 0.500
Sm 0.833 0.167 0.500
Tm 0.334 0.666 0.000
Tm 0.666 0.334 0.000
Tl 0.000 0.000 0.000
CELL_PARAMETERS angstrom
3.074 -5.330 0.000
3.074 5.330 0.000
-2.071 0.000 11.446
! DFT formation energy: -7.7 meV/atom
! M_tot: 0.01 μB per formula unit

---

Record 2
! Mg2TaTc, optimized geometry, DFT PBE; values from VASP
&SYSTEM
  ibrav = 0, nat = 4, ntyp = 3
/
ATOMIC_SPECIES
Mg 24.30 Mg.upf
Ta 180.95 Ta.upf
Tc 98.00 Tc.upf
ATOMIC_POSITIONS crystal
Mg 0.000 0.000 0.234
Mg 0.000 0.000 0.766
Ta 0.500 0.500 0.500
Tc 0.500 0.500 0.000
CELL_PARAMETERS angstrom
1.638 -2.220 0.000
1.638 2.220 0.000
0.000 0.000 9.607
! DFT formation energy: 283.1 meV/atom
! M_tot: 0.00 μB per formula unit

---

Record 3
! Cs3Zn, optimized geometry, DFT PBE; values from VASP
&SYSTEM
  ibrav = 0, nat = 4, ntyp = 2
/
ATOMIC_SPECIES
Cs 132.91 Cs.upf
Zn 65.41 Zn.upf
ATOMIC_POSITIONS crystal
Cs 0.000 0.000 0.000
Cs 0.315 0.496 0.818
Cs 0.678 0.496 0.182
Zn 0.676 0.176 0.500
CELL_PARAMETERS angstrom
-2.611 7.001 4.416
2.611 -7.001 4.416
2.611 7.001 -4.416
! DFT formation energy: 114.8 meV/atom
! M_tot: 0.00 μB per formula unit